A plane-wave DFT calculation with PBE was carried out for an optimized crystal structure of Er3Al2CdCuAu2.

Cell: 3.9977 7.2551 7.2551 Å, 118.65 90.00 90.00°
Closest atoms and distances in Å follow each position.
Fractional positions:
Er  0.0000  0.0000  0.0000  1 Cu 2.84, 4 Au 3.01
Er  0.0000  0.1831  0.5912  4 Au 2.92-3.02, 1 Cu 3.06, 2 Cd 3.25, 2 Al 3.27
Er  0.0000  0.5912  0.1831  4 Au 2.92-3.02, 1 Cu 3.06, 2 Cd 3.25, 2 Al 3.27
Al  0.5000  0.5990  0.8310  2 Cu 2.57, 2 Au 2.80-2.84
Al  0.5000  0.8310  0.5990  2 Cu 2.57, 2 Au 2.80-2.84
Cd  0.5000  0.3554  0.3554  2 Cu 2.78, 2 Au 2.94, 2 Al 3.03
Cu  0.0000  0.6162  0.6162  4 Al 2.57, 2 Cd 2.78, 1 Er 2.84
Au  0.5000  0.2595  0.9133  2 Al 2.80-2.84, 6 Er 2.92-3.02, 1 Cd 2.94
Au  0.5000  0.9133  0.2595  2 Al 2.80-2.84, 6 Er 2.92-3.02, 1 Cd 2.94

Properties
Its total energy is -38.228 eV per formula unit. For the volume, the calculation gives 184.7 Å³/cell.

***

A plane-wave DFT calculation with PBE was carried out for an optimized crystal structure of AlCdFeAu.

Cell: 4.5136 4.5136 4.5136 Å, 60.00 60.00 60.00°
Closest atoms and distances in Å follow each position.
Fractional positions:
Al  0.0000  0.0000  0.0000  4 Fe 2.76, 4 Au 2.76
Cd  0.5000  0.5000  0.5000  4 Au 2.76, 4 Fe 2.76
Fe  0.2500  0.2500  0.2500  4 Cd 2.76, 4 Al 2.76
Au  0.7500  0.7500  0.7500  4 Cd 2.76, 4 Al 2.76

Properties
For the polymorph energy (0 for the lowest one), the calculation gives 0.0 meV/atom. For the volume, the calculation gives 65.0 Å³/cell.

***

A plane-wave DFT calculation with PBE was carried out for an optimized crystal structure of NdGd2Al2Cd3Au.

Cell: 4.4589 7.4469 7.4469 Å, 120.15 90.00 90.00°
Closest atoms and distances in Å follow each position.
Fractional positions:
Nd  0.0000  0.0000  0.0000  1 Au 3.08, 4 Al 3.19, 2 Cd 3.35
Gd  0.0000  0.4095  0.8188  1 Au 3.03, 4 Al 3.16, 2 Cd 3.36
Gd  0.0000  0.8188  0.4095  1 Au 3.03, 4 Al 3.16, 2 Cd 3.36
Al  0.5000  0.0780  0.7412  3 Cd 2.80-2.84
Al  0.5000  0.7412  0.0780  3 Cd 2.80-2.84
Cd  0.5000  0.1575  0.4113  2 Al 2.80-2.84, 2 Au 2.93
Cd  0.5000  0.4113  0.1575  2 Al 2.80-2.84, 2 Au 2.93
Cd  0.5000  0.6628  0.6628  2 Al 2.84, 2 Au 2.89
Au  0.0000  0.4148  0.4148  6 Cd 2.89-2.93, 2 Gd 3.03, 1 Nd 3.08

Properties
Its total energy is -31.835 eV per formula unit. For the volume, the calculation gives 213.8 Å³/cell.

***

A plane-wave DFT calculation with PBE was carried out for an optimized crystal structure of Gd3AlCd2Pt2Au.

Cell: 3.9356 7.6402 7.6402 Å, 120.81 90.00 90.00°
Closest atoms and distances in Å follow each position.
Fractional positions:
Gd  0.0000  0.0000  0.0000  4 Pt 2.98, 2 Al 3.16
Gd  0.0000  0.1780  0.5899  4 Pt 2.95-3.16, 1 Au 3.04, 2 Cd 3.20
Gd  0.0000  0.5899  0.1780  4 Pt 2.95-3.16, 1 Au 3.04, 2 Cd 3.20
Al  0.5000  0.3280  0.3280  2 Au 2.62, 2 Pt 2.68
Cd  0.5000  0.5893  0.8470  2 Au 2.87, 2 Pt 2.95-2.97, 2 Gd 3.20
Cd  0.5000  0.8470  0.5893  2 Au 2.87, 2 Pt 2.95-2.97, 2 Gd 3.20
Pt  0.5000  0.2623  0.9483  1 Al 2.68, 2 Cd 2.95-2.97, 4 Gd 2.95-2.98
Pt  0.5000  0.9483  0.2623  1 Al 2.68, 2 Cd 2.95-2.97, 4 Gd 2.95-2.98
Au  0.0000  0.5581  0.5581  2 Al 2.62, 4 Cd 2.87

Properties
Its total energy is -42.864 eV per formula unit. For the volume, the calculation gives 197.3 Å³/cell.

***

A plane-wave DFT calculation with PBE was carried out for an optimized crystal structure of Gd2YAl2Cd3Au.

Cell: 4.4242 7.3810 7.3810 Å, 119.89 90.00 90.00°
Closest atoms and distances in Å follow each position.
Fractional positions:
Gd  0.0000  0.2050  0.7950  1 Au 3.03, 4 Al 3.14-3.15, 2 Cd 3.32
Gd  0.0000  0.7950  0.2050  1 Au 3.03, 4 Al 3.14-3.15, 2 Cd 3.32
Y  0.0000  0.3845  0.3845  1 Au 3.03, 4 Al 3.14, 2 Cd 3.32
Al  0.5000  0.1285  0.4610  3 Cd 2.80
Al  0.5000  0.4610  0.1285  3 Cd 2.80
Cd  0.5000  0.0489  0.0489  2 Al 2.80, 2 Au 2.91
Cd  0.5000  0.5403  0.7943  2 Al 2.80, 2 Au 2.90
Cd  0.5000  0.7943  0.5403  2 Al 2.80, 2 Au 2.90
Au  0.0000  0.7939  0.7939  6 Cd 2.90-2.91, 1 Y 3.03, 2 Gd 3.03

Properties
Its total energy is -33.625 eV per formula unit. For the volume, the calculation gives 209.0 Å³/cell.

***

A plane-wave DFT calculation with PBE was carried out for an optimized crystal structure of GdY2Al2Cd3Au.

Cell: 4.4133 7.3735 7.3735 Å, 120.11 90.00 90.00°
Closest atoms and distances in Å follow each position.
Fractional positions:
Gd  0.0000  0.0000  0.0000  1 Au 3.03, 4 Al 3.14, 2 Cd 3.31
Y  0.0000  0.4108  0.8219  1 Au 3.03, 4 Al 3.13, 2 Cd 3.31
Y  0.0000  0.8219  0.4108  1 Au 3.03, 4 Al 3.13, 2 Cd 3.31
Al  0.5000  0.0780  0.7440  3 Cd 2.79-2.80
Al  0.5000  0.7440  0.0780  3 Cd 2.79-2.80
Cd  0.5000  0.1567  0.4113  2 Al 2.79, 2 Au 2.90
Cd  0.5000  0.4113  0.1567  2 Al 2.79, 2 Au 2.90
Cd  0.5000  0.6652  0.6652  2 Al 2.80, 2 Au 2.89
Au  0.0000  0.4117  0.4117  6 Cd 2.89-2.90, 2 Y 3.03, 1 Gd 3.03

Properties
Its total energy is -35.474 eV per formula unit. For the volume, the calculation gives 207.6 Å³/cell.

***

A plane-wave DFT calculation with PBE was carried out for an optimized crystal structure of AlCdHgAu.

Cell: 4.8537 4.8537 4.8537 Å, 60.00 60.00 60.00°
Closest atoms and distances in Å follow each position.
Fractional positions:
Al  0.0000  0.0000  0.0000  4 Hg 2.97, 4 Au 2.97
Cd  0.5000  0.5000  0.5000  4 Au 2.97, 4 Hg 2.97
Hg  0.2500  0.2500  0.2500  4 Cd 2.97, 4 Al 2.97
Au  0.7500  0.7500  0.7500  4 Cd 2.97, 4 Al 2.97

Properties
For the polymorph energy (0 for the lowest one), the calculation gives 0.0 meV/atom. For the volume, the calculation gives 80.9 Å³/cell.

***

A plane-wave DFT calculation with PBE was carried out for an optimized crystal structure of Li4AlCdAu2.

Cell: 4.4602 4.4602 6.3490 Å, 90.00 90.00 90.00°
Closest atoms and distances in Å follow each position.
Fractional positions:
Li  0.0000  0.0000  0.0000  4 Li 2.76, 4 Au 2.85
Li  0.0000  0.5000  0.7447  4 Li 2.72-2.76, 2 Al 2.72, 2 Cd 2.76, 1 Au 2.95
Li  0.5000  0.0000  0.2553  4 Li 2.72-2.76, 2 Al 2.72, 2 Cd 2.76, 1 Au 2.95
Li  0.5000  0.5000  0.5000  4 Au 2.63, 4 Li 2.72
Al  0.0000  0.0000  0.5000  4 Au 2.63, 4 Li 2.72
Cd  0.5000  0.5000  0.0000  4 Li 2.76, 4 Au 2.85
Au  0.0000  0.5000  0.2796  4 Li 2.63-2.85, 2 Al 2.63, 2 Cd 2.85
Au  0.5000  0.0000  0.7204  4 Li 2.63-2.85, 2 Al 2.63, 2 Cd 2.85

Properties
Its total energy is -22.572 eV per formula unit. For the volume, the calculation gives 126.3 Å³/cell.

***

A plane-wave DFT calculation with PBE was carried out for an optimized crystal structure of Li2AlCd3Au2.

Cell: 4.6104 4.6104 6.5557 Å, 90.00 90.00 90.00°
Closest atoms and distances in Å follow each position.
Fractional positions:
Li  0.0000  0.5000  0.2450  6 Cd 2.81-2.85, 2 Al 2.81, 1 Au 3.12
Li  0.5000  0.0000  0.7550  6 Cd 2.81-2.85, 2 Al 2.81, 1 Au 3.12
Al  0.5000  0.5000  0.0000  4 Au 2.76, 4 Li 2.81
Cd  0.0000  0.0000  0.0000  4 Au 2.76, 4 Li 2.81
Cd  0.0000  0.0000  0.5000  4 Li 2.85, 4 Au 2.90
Cd  0.5000  0.5000  0.5000  4 Li 2.85, 4 Au 2.90
Au  0.0000  0.5000  0.7696  6 Cd 2.76-2.90, 2 Al 2.76
Au  0.5000  0.0000  0.2304  6 Cd 2.76-2.90, 2 Al 2.76

Properties
Its total energy is -19.552 eV per formula unit. For the volume, the calculation gives 139.3 Å³/cell.

***

A plane-wave DFT calculation with PBE was carried out for an optimized crystal structure of Li4Al2CdAu.

Cell: 4.4449 4.4449 6.3099 Å, 90.00 90.00 90.00°
Closest atoms and distances in Å follow each position.
Fractional positions:
Li  0.0000  0.0000  0.0000  4 Li 2.75, 4 Al 2.80
Li  0.0000  0.5000  0.7420  4 Li 2.70-2.75, 2 Au 2.70, 2 Cd 2.75, 1 Al 2.97
Li  0.5000  0.0000  0.2580  4 Li 2.70-2.75, 2 Au 2.70, 2 Cd 2.75, 1 Al 2.97
Li  0.5000  0.5000  0.5000  4 Al 2.65, 4 Li 2.70
Al  0.0000  0.5000  0.2711  4 Li 2.65-2.80, 2 Au 2.65, 2 Cd 2.80
Al  0.5000  0.0000  0.7289  4 Li 2.65-2.80, 2 Au 2.65, 2 Cd 2.80
Cd  0.5000  0.5000  0.0000  4 Li 2.75, 4 Al 2.80
Au  0.0000  0.0000  0.5000  4 Al 2.65, 4 Li 2.70

Properties
Its total energy is -22.191 eV per formula unit. For the volume, the calculation gives 124.7 Å³/cell.